ReBAs2Cl: optimized geometry, PBE.

Cell: 4.277 4.235 4.277 Å, 90.00 90.00 90.00°
Atoms (fractional coordinates):
Re 0.500 0.500 0.500
As 0.000 0.000 0.500
As 0.500 0.000 0.000
B 0.000 0.000 0.000
Cl 0.000 0.500 0.000

Values from the calculation:
Magnetization   0.000 μB per atom
Space-group type   P4/mmm (123)
Total DFT energy (no corrections)   -4.715 eV per atom



La2Sm5Dy4: optimized geometry, PBE.

Cell: 3.533 9.198 12.801 Å, 111.06 97.93 90.00°
Atoms (fractional coordinates):
La 0.267 0.267 0.533
La 0.733 0.733 0.467
Sm 0.859 0.053 0.719
Sm 0.859 0.666 0.719
Sm 0.141 0.334 0.281
Sm 0.141 0.947 0.281
Sm 0.500 0.000 0.000
Dy 0.000 0.313 0.000
Dy 0.597 0.597 0.195
Dy 0.000 0.687 0.000
Dy 0.403 0.403 0.805

Values from the calculation:
Formation energy from the elements   17.0 kJ/mol of atoms
Magnetization   0.000 μB per atom
Space-group type   Immm (71)
Distance to the lowest polymorph of the same formula   110 meV/atom



TeIrNO2: optimized geometry, PBE.

Cell: 4.024 4.024 3.905 Å, 90.00 90.00 90.00°
Atoms (fractional coordinates):
Ir 0.000 0.000 0.000
Te 0.500 0.500 0.500
O 0.000 0.500 0.000
O 0.500 0.000 0.000
N 0.000 0.000 0.500

Values from the calculation:
Magnetization   0.000 μB per atom
Space-group type   P4/mmm (123)
Total DFT energy (no corrections)   -5.673 eV per atom



TcW2Cl: optimized geometry, PBE.

Cell: 4.456 4.456 4.456 Å, 60.00 60.00 60.00°
Atoms (fractional coordinates):
Tc 0.500 0.500 0.500
W 0.250 0.250 0.250
W 0.750 0.750 0.750
Cl 0.000 0.000 0.000

Values from the calculation:
Magnetization   0.000 μB per atom
Space-group type   Fm-3m (225)
Distance to the lowest polymorph of the same formula   686 meV/atom



SrP2Br: optimized geometry, PBE.

Cell: 5.428 5.428 3.454 Å, 90.00 90.00 113.76°
Atoms (fractional coordinates):
Br 0.000 0.500 0.500
P 0.000 0.000 0.000
P 0.500 0.500 0.000
Sr 0.500 0.000 0.500

Values from the calculation:
Magnetization   0.000 μB per atom
Space-group type   Cmmm (65)
Distance to the lowest polymorph of the same formula   874 meV/atom



HgPtCl: optimized geometry, PBE.

Cell: 6.168 6.168 6.168 Å, 149.22 149.22 44.09°
Atoms (fractional coordinates):
Cl 0.016 0.016 0.000
Hg 0.311 0.311 0.000
Pt 0.673 0.673 0.000

Values from the calculation:
Magnetization   0.000 μB per atom
Space-group type   I4mm (107)
Distance to the lowest polymorph of the same formula   192 meV/atom



Ce2Er3Ru4: optimized geometry, PBE.

Cell: 5.873 8.659 8.659 Å, 63.75 84.45 84.45°
Atoms (fractional coordinates):
Ce 0.423 0.813 0.595
Ce 0.077 0.405 0.187
Ce 0.577 0.187 0.405
Ce 0.923 0.595 0.813
Er 0.918 0.002 0.800
Er 0.582 0.200 0.998
Er 0.082 0.998 0.200
Er 0.418 0.800 0.002
Er 0.250 0.571 0.429
Er 0.750 0.429 0.571
Ru 0.413 0.160 0.709
Ru 0.087 0.291 0.840
Ru 0.587 0.840 0.291
Ru 0.913 0.709 0.160
Ru 0.916 0.833 0.541
Ru 0.584 0.459 0.167
Ru 0.084 0.167 0.459
Ru 0.416 0.541 0.833

Values from the calculation:
Formation energy from the elements   -28.2 kJ/mol of atoms
Magnetization   0.000 μB per atom
Space-group type   C2/c (15)
Distance to the lowest polymorph of the same formula   41 meV/atom



NaTiCoSe3: optimized geometry, PBE.

Cell: 3.614 7.997 9.322 Å, 110.82 90.00 90.00°
Site moments in Bohr magnetons follow the coordinates.
Atoms (fractional coordinates):
Na 0.750 0.769 0.746  0.00
Na 0.250 0.231 0.254  0.00
Ti 0.250 0.695 0.173  -0.08
Ti 0.750 0.305 0.827  -0.08
Co 0.250 0.084 0.598  1.35
Co 0.750 0.916 0.402  1.35
Se 0.250 0.763 0.464  0.07
Se 0.750 0.907 0.145  0.03
Se 0.750 0.446 0.136  0.01
Se 0.750 0.237 0.536  0.07
Se 0.250 0.554 0.864  0.01
Se 0.250 0.093 0.855  0.03

Values from the calculation:
Magnetization   0.243 μB per atom
Space-group type   P2_1/m (11)
Total DFT energy (no corrections)   -5.362 eV per atom



Pm2UN4: optimized geometry, PBE.

Cell: 3.588 5.974 10.004 Å, 90.00 90.00 90.00°
Atoms (fractional coordinates):
Pm 0.500 0.936 0.823
Pm 0.500 0.064 0.177
Pm 0.500 0.436 0.677
Pm 0.500 0.564 0.323
U 0.000 0.000 0.500
U 0.000 0.500 0.000
N 0.000 0.641 0.810
N 0.000 0.359 0.190
N 0.000 0.141 0.690
N 0.000 0.859 0.310
N 0.500 0.775 0.544
N 0.500 0.225 0.456
N 0.500 0.725 0.044
N 0.500 0.275 0.956

Values from the calculation:
Magnetization   0.000 μB per atom
Space-group type   Pbam (55)
Total DFT energy (no corrections)   -9.234 eV per atom



ScTaAs4: optimized geometry, PBE.

Cell: 5.464 5.464 5.464 Å, 60.00 60.00 60.00°
Atoms (fractional coordinates):
Sc 0.750 0.750 0.750
Ta 0.000 0.000 0.000
As 0.877 0.374 0.374
As 0.374 0.374 0.877
As 0.374 0.877 0.374
As 0.374 0.374 0.374

Values from the calculation:
Formation energy from the elements   32.7 kJ/mol of atoms
Magnetization   0.000 μB per atom
Space-group type   F-43m (216)



KZrCu4: optimized geometry, PBE.

Cell: 5.231 5.231 5.231 Å, 60.00 60.00 60.00°
Atoms (fractional coordinates):
K 0.750 0.750 0.750
Zr 0.000 0.000 0.000
Cu 0.374 0.877 0.374
Cu 0.877 0.374 0.374
Cu 0.374 0.374 0.877
Cu 0.374 0.374 0.374

Values from the calculation:
Formation energy from the elements   38.9 kJ/mol of atoms
Magnetization   0.000 μB per atom
Space-group type   F-43m (216)



Ba2Mg2Br: optimized geometry, PBE.

Cell: 4.292 4.292 10.785 Å, 78.52 78.52 90.00°
Atoms (fractional coordinates):
Mg 0.750 0.250 0.500
Mg 0.250 0.750 0.500
Ba 0.398 0.398 0.205
Ba 0.602 0.602 0.795
Br 0.000 0.000 0.000

Values from the calculation:
Magnetization   0.000 μB per atom
Space-group type   I4/mmm (139)
Distance to the lowest polymorph of the same formula   0 meV/atom



CeSb3Au3: optimized geometry, PBE.

Cell: 7.547 7.547 7.547 Å, 90.00 90.00 90.00°
Site moments in Bohr magnetons follow the coordinates.
Atoms (fractional coordinates):
Sb 0.250 0.000 0.500  -0.01
Sb 0.000 0.500 0.250  -0.01
Sb 0.500 0.750 0.000  -0.01
Sb 0.750 0.000 0.500  -0.01
Sb 0.000 0.500 0.750  -0.01
Sb 0.500 0.250 0.000  -0.01
Au 0.000 0.250 0.500  0.00
Au 0.000 0.750 0.500  0.00
Au 0.500 0.000 0.750  0.00
Au 0.750 0.500 0.000  0.00
Au 0.500 0.000 0.250  0.00
Au 0.250 0.500 0.000  0.00
Ce 0.500 0.500 0.500  1.31
Ce 0.000 0.000 0.000  1.31

Values from the calculation:
Magnetization   0.196 μB per atom
Space-group type   Pm-3n (223)
Total DFT energy (no corrections)   -4.030 eV per atom